LiAl2Ir: optimized geometry, PBE.

Cell lengths 2.794, 2.794, 8.775 Å; angles 90.00, 90.00, 116.46 degrees
Sites, in units of the cell vectors:
1 Li 0.500 0.500 0.735
2 Al 0.500 0.500 0.267
3 Al 0.000 0.000 0.007
4 Ir 0.000 0.000 0.492

- Density: 6853 kg/m³
- Energy above the most stable polymorph in this dataset: 0.565 eV per atom
- Formation enthalpy at 0 K: -0.163 eV/atom
- Density of states at the Fermi level: 1.3 states/eV per cell



ScHgN2O: optimized geometry, PBE.

Cell lengths 4.362, 4.362, 4.005 Å; angles 90.00, 90.00, 90.00 degrees
Sites, in units of the cell vectors:
1 O 0.000 0.000 0.500
2 N 0.000 0.500 0.000
3 Hg 0.500 0.500 0.500
4 N 0.500 0.000 0.000
5 Sc 0.000 0.000 0.000

- Density: 6311 kg/m³
- Uncorrected formation energy: 155 kJ/mol of formula units
- Density of states at the Fermi level: 2.2 states/eV per cell



These records have total moment values of 0.0000; 0.6306 μB per atom, in the order they appear.
These records have final energy values of -4.728; -5.327 eV/atom, in the order they appear.